Entry 1:
The following is a GGA-PBE calculation of CaReAg2 after structural relaxation, from Alexandria.

a = 2.7709 Å, b = 4.5746 Å, c = 5.9788 Å
α = 90.00°, β = 90.00°, γ = 90.00°
Fractional coordinates of all 4 atoms:
Ag: 0.5000 0.5000 0.2412
Ag: 0.0000 0.0000 0.9865
Ca: 0.0000 0.0000 0.5008
Re: 0.5000 0.5000 0.7715

Results
Raw total energy, eV/atom: -4.466
Energy above the most stable polymorph in this dataset, meV per atom: 99.2
Energy of formation from the pure elements, eV per atom: 0.572

Entry 2:
The following is a GGA-PBE calculation of KFeP after structural relaxation, from Alexandria.

a = 11.4162 Å, b = 4.8083 Å, c = 3.7192 Å
α = 90.01°, β = 120.03°, γ = 90.21°
Site moments in Bohr magnetons follow the coordinates.
Fractional coordinates of all 6 atoms:
Fe: 0.2249 0.1227 0.1377  1.80
Fe: 0.2248 0.6227 0.1376  1.80
P: 0.1671 0.3719 0.5489  -0.01
P: 0.2825 0.8730 0.7263  -0.01
K: 0.5101 0.3746 0.0756  0.00
K: 0.9394 0.8691 0.2033  0.00

Results
Raw total energy, eV/atom: -5.084
Energy of formation from the pure elements, eV per atom: -0.094

Entry 3:
The following is a GGA-PBE calculation of ThZrFeOs after structural relaxation, from Alexandria.

a = 4.8013 Å, b = 4.8013 Å, c = 4.8013 Å
α = 60.00°, β = 60.00°, γ = 60.00°
Site moments in Bohr magnetons follow the coordinates.
Fractional coordinates of all 4 atoms:
Zr: 0.7500 0.7500 0.7500  -0.29
Os: 0.0000 0.0000 0.0000  0.04
Fe: 0.5000 0.5000 0.5000  1.47
Th: 0.2500 0.2500 0.2500  -0.21

Results
Raw total energy, eV/atom: -9.019
Energy of formation from the pure elements, eV per atom: -0.104

Entry 4:
The following is a GGA-PBE calculation of La2HoN after structural relaxation, from Alexandria.

a = 3.6034 Å, b = 3.6034 Å, c = 10.0769 Å
α = 79.70°, β = 79.70°, γ = 60.00°
Fractional coordinates of all 4 atoms:
La: 0.1183 0.1183 0.6452
La: 0.8817 0.8817 0.3548
N: 0.5000 0.5000 0.5000
Ho: 0.0000 0.0000 0.0000

Results
Raw total energy, eV/atom: -6.235
E_form (uncorrected), meV per atom: -546

| no. | theoretical density (g/cm3) |
| --- | --- |
| 1 | 9.7 |
| 2 | 2.4 |
| 3 | 12.1 |
| 4 | 6.8 |